1.
Material: PuTl2SbO8
Method: DFT, PBE
State: optimized geometry

Calculated values
Formation energy (no corrections) (eV per atom): -1.430
ρ (g/cm³): 8.69
Size of the total moment (μB/atom): 0.25

a = 6.987 Å, b = 7.177 Å, c = 6.879 Å
α = 90.00°, β = 90.00°, γ = 90.00°
Space group Cmmm (No. 65)
Asymmetric unit:
1 Pu 0.000 0.000 0.000 x2
2 Tl 0.000 0.500 0.260 x4
3 Sb 0.000 0.000 0.500 x2
4 O 0.000 0.178 0.266 x8
5 O 0.209 0.500 0.000 x4
6 O 0.215 0.500 0.500 x4



2.
Material: TiCrCuS4
Method: DFT, PBE
State: optimized geometry

Calculated values
Formation energy (no corrections) (eV per atom): -0.839
ρ (g/cm³): 4.12
Size of the total moment (μB/atom): 0.42

a = 5.918 Å, b = 3.453 Å, c = 11.503 Å
α = 90.00°, β = 90.27°, γ = 90.00°
Space group P2/m (No. 10)
Asymmetric unit:
1 Ti 0.031 0.000 0.246 x2
2 Cr 0.484 0.500 0.255 x2
3 Cu 0.000 0.000 0.500 x1
4 Cu 0.500 0.500 0.000 x1
5 S 0.167 0.500 0.635 x2
6 S 0.171 0.500 0.120 x2
7 S 0.337 0.000 0.378 x2
8 S 0.341 0.000 0.861 x2



3.
Material: Ce4Bi
Method: DFT, PBE
State: optimized geometry

Calculated values
Uncorrected energy (eV for the cell shown): -56.5
ρ (g/cm³): 8.45
Size of the total moment (μB/atom): 0.00

a = 7.425 Å, b = 5.572 Å, c = 7.346 Å
α = 90.00°, β = 95.63°, γ = 90.00°
Space group P2_1/c (No. 14)
Asymmetric unit:
1 Ce 0.124 0.247 0.103 x4
2 Ce 0.199 0.694 0.775 x4
3 Bi 0.500 0.000 0.000 x2



4.
Material: Ce3Al7Pt4
Method: DFT, PBE
State: optimized geometry

Calculated values
Uncorrected energy (eV for the cell shown): -163.0
ρ (g/cm³): 8.68
Size of the total moment (μB/atom): 0.10

a = 15.726 Å, b = 4.318 Å, c = 9.454 Å
α = 90.00°, β = 124.12°, γ = 90.00°
Space group C2/m (No. 12)
Asymmetric unit:
1 Ce 0.000 0.000 0.000 x2
2 Ce 0.191 0.500 0.693 x4
3 Al 0.000 0.000 0.500 x2
4 Al 0.004 0.500 0.295 x4
5 Al 0.157 0.000 0.428 x4
6 Al 0.180 0.500 0.027 x4
7 Pt 0.119 0.000 0.845 x4
8 Pt 0.158 0.500 0.278 x4



5.
Material: ZrB
Method: DFT, PBE
State: optimized geometry

Calculated values
Uncorrected energy (eV for the cell shown): -255.6
ρ (g/cm³): 5.92
Size of the total moment (μB/atom): 0.00

a = 5.854 Å, b = 7.804 Å, c = 10.022 Å
α = 90.00°, β = 90.00°, γ = 90.00°
Space group Fddd (No. 70, origin choice 2)
Asymmetric unit:
1 Zr 0.125 0.331 0.125 x16
2 B 0.022 0.375 0.875 x16



6.
Material: La2CuSe
Method: DFT, PBE
State: optimized geometry

Calculated values
Formation energy (no corrections) (eV per atom): -0.976
ρ (g/cm³): 6.14
Size of the total moment (μB/atom): 0.00

a = 4.290 Å, b = 4.290 Å, c = 6.176 Å
α = 90.00°, β = 90.00°, γ = 90.00°
Space group P4/mmm (No. 123)
Asymmetric unit:
1 La 0.000 0.000 0.000 x1
2 La 0.500 0.500 0.500 x1
3 Cu 0.000 0.000 0.500 x1
4 Se 0.500 0.500 0.000 x1



7.
Material: Tb2TmPbC
Method: DFT, PBE
State: optimized geometry

Calculated values
Uncorrected energy (eV for the cell shown): -29.4
ρ (g/cm³): 9.88
Size of the total moment (μB/atom): 0.00

a = 4.951 Å, b = 4.951 Å, c = 4.839 Å
α = 90.00°, β = 90.00°, γ = 90.00°
Space group P4/mmm (No. 123)
Asymmetric unit:
1 Tb 0.000 0.500 0.000 x2
2 Tm 0.000 0.000 0.500 x1
3 Pb 0.500 0.500 0.500 x1
4 C 0.000 0.000 0.000 x1



8.
Material: MnHg2Cl
Method: DFT, PBE
State: optimized geometry

Calculated values
Formation energy (no corrections) (eV per atom): 0.234
ρ (g/cm³): 8.58
Size of the total moment (μB/atom): 1.29

a = 7.246 Å, b = 7.246 Å, c = 7.246 Å
α = 90.00°, β = 90.00°, γ = 90.00°
Space group F-43m (No. 216)
Asymmetric unit:
1 Mn 0.000 0.000 0.000 x4
2 Hg 0.000 0.000 0.500 x4
3 Hg 0.250 0.250 0.250 x4
4 Cl 0.250 0.250 0.750 x4



9.
Material: ThCo4
Method: DFT, PBE
State: optimized geometry

Calculated values
Uncorrected energy (eV for the cell shown): -145.2
ρ (g/cm³): 10.22
Size of the total moment (μB/atom): 0.98

a = 5.600 Å, b = 9.989 Å, c = 5.435 Å
α = 90.00°, β = 90.00°, γ = 90.00°
Space group Cmcm (No. 63)
Asymmetric unit:
1 Th 0.000 0.243 0.250 x4
2 Co 0.000 0.113 0.750 x4
3 Co 0.000 0.346 0.750 x4
4 Co 0.222 0.500 0.000 x8



10.
Material: Ho3S3O
Method: DFT, PBE
State: optimized geometry

Calculated values
Formation energy (no corrections) (eV per atom): -2.185
ρ (g/cm³): 6.21
Size of the total moment (μB/atom): 0.00

a = 12.0388 Å, b = 12.0388 Å, c = 3.8817 Å
α = 90.00°, β = 90.00°, γ = 120.00°
Space group R3m (No. 160, hexagonal axes)
Asymmetric unit:
1 Ho 0.0997 0.1994 0.0000 x9
2 S 0.1941 0.3882 0.4644 x9
3 O 0.0000 0.0000 0.1399 x3



11.
Material: MgAg2Bi
Method: DFT, PBE
State: optimized geometry

Calculated values
Uncorrected energy (eV for the cell shown): -11.4
ρ (g/cm³): 8.61
Size of the total moment (μB/atom): 0.00

a = 4.417 Å, b = 4.417 Å, c = 4.441 Å
α = 90.00°, β = 90.00°, γ = 90.00°
Space group P4/mmm (No. 123)
Asymmetric unit:
1 Mg 0.000 0.000 0.000 x1
2 Ag 0.000 0.500 0.500 x2
3 Bi 0.500 0.500 0.000 x1



12.
Material: Cd3ICl
Method: DFT, PBE
State: optimized geometry

Calculated values
Formation energy (no corrections) (eV per atom): 0.214
ρ (g/cm³): 3.68
Size of the total moment (μB/atom): 0.00

a = 6.089 Å, b = 6.089 Å, c = 6.089 Å
α = 90.00°, β = 90.00°, γ = 90.00°
Space group Pm-3m (No. 221)
Asymmetric unit:
1 Cd 0.000 0.000 0.500 x3
2 I 0.000 0.000 0.000 x1
3 Cl 0.500 0.500 0.500 x1



13.
Material: VNi6Mo
Method: DFT, PBE
State: optimized geometry

Calculated values
Uncorrected energy (eV for the cell shown): -110.2
ρ (g/cm³): 8.82
Size of the total moment (μB/atom): 0.00

a = 3.510 Å, b = 7.345 Å, c = 7.285 Å
α = 90.00°, β = 90.00°, γ = 90.00°
Space group Amm2 (No. 38)
Asymmetric unit:
1 V 0.000 0.000 0.000 x2
2 Ni 0.000 0.000 0.525 x2
3 Ni 0.000 0.250 0.270 x4
4 Ni 0.500 0.000 0.771 x2
5 Ni 0.500 0.244 0.020 x4
6 Mo 0.500 0.000 0.284 x2



14.
Material: CoNiHPd2
Method: DFT, PBE
State: optimized geometry

Calculated values
Uncorrected energy (eV for the cell shown): -26.2
ρ (g/cm³): 9.78
Size of the total moment (μB/atom): 0.60

a = 3.913 Å, b = 3.913 Å, c = 3.677 Å
α = 90.00°, β = 90.00°, γ = 90.00°
Space group P4/mmm (No. 123)
Asymmetric unit:
1 Co 0.000 0.000 0.000 x1
2 Ni 0.500 0.500 0.000 x1
3 H 0.000 0.000 0.500 x1
4 Pd 0.000 0.500 0.500 x2



15.
Material: K2NaRh2
Method: DFT, PBE
State: optimized geometry

Calculated values
Uncorrected energy (eV for the cell shown): -32.6
ρ (g/cm³): 3.13
Size of the total moment (μB/atom): 0.00

a = 3.596 Å, b = 3.596 Å, c = 25.173 Å
α = 90.00°, β = 90.00°, γ = 90.00°
Space group I4/mmm (No. 139)
Asymmetric unit:
1 K 0.000 0.000 0.140 x4
2 Na 0.000 0.000 0.500 x2
3 Rh 0.000 0.500 0.250 x4



16.
Material: PmNdDy2
Method: DFT, PBE
State: optimized geometry

Calculated values
Uncorrected energy (eV for the cell shown): -37.2
ρ (g/cm³): 7.62
Size of the total moment (μB/atom): 0.00

a = 3.655 Å, b = 11.584 Å, c = 6.321 Å
α = 90.00°, β = 90.00°, γ = 90.00°
Space group Imm2 (No. 44)
Asymmetric unit:
1 Pm 0.000 0.000 0.000 x2
2 Nd 0.000 0.500 0.001 x2
3 Dy 0.000 0.250 0.669 x4



17.
Material: Zn2AgTe
Method: DFT, PBE
State: optimized geometry

Calculated values
Formation energy (no corrections) (eV per atom): 0.173
ρ (g/cm³): 7.35
Size of the total moment (μB/atom): 0.00

a = 4.256 Å, b = 4.411 Å, c = 8.818 Å
α = 90.00°, β = 90.00°, γ = 90.00°
Space group Cmm2 (No. 35)
Asymmetric unit:
1 Zn 0.000 0.000 0.000 x2
2 Zn 0.000 0.500 0.184 x2
3 Ag 0.000 0.000 0.387 x2
4 Te 0.000 0.500 0.686 x2



18.
Material: PmCrNiP2
Method: DFT, PBE
State: optimized geometry

Calculated values
Uncorrected energy (eV for the cell shown): -70.7
ρ (g/cm³): 6.75
Size of the total moment (μB/atom): 0.00

a = 3.856 Å, b = 3.856 Å, c = 10.511 Å
α = 90.00°, β = 90.00°, γ = 90.00°
Space group I-4m2 (No. 119)
Asymmetric unit:
1 Pm 0.000 0.000 0.000 x2
2 Cr 0.000 0.500 0.250 x2
3 Ni 0.000 0.500 0.750 x2
4 P 0.000 0.000 0.363 x4



19.
Material: ZnSb2
Method: DFT, PBE
State: optimized geometry

Calculated values
Formation energy (no corrections) (eV per atom): 0.185
ρ (g/cm³): 6.85
Size of the total moment (μB/atom): 0.00

a = 3.604 Å, b = 3.604 Å, c = 11.527 Å
α = 90.00°, β = 90.00°, γ = 90.00°
Space group I4/mmm (No. 139)
Asymmetric unit:
1 Zn 0.000 0.000 0.000 x2
2 Sb 0.000 0.000 0.370 x4